Here is crystalline RbUZn2Cl8 at its relaxed geometry from Alexandria via LeMat-Bulk. Energies are from PBE.

Unit cell a=10.6373 b=10.6373 c=10.6373 alpha=35.90 beta=35.90 gamma=35.90
Last column: nearest neighbours and their distance in Å.
Element x y z (fractional)
Rb 0.0000 0.0000 0.0000  12 Cl 3.79-3.96
U 0.5000 0.5000 0.5000  6 Cl 2.77
Zn 0.2506 0.2506 0.2506  4 Cl 2.20-2.33
Zn 0.7494 0.7494 0.7494  4 Cl 2.20-2.33
Cl 0.1051 0.7853 0.4439  1 Zn 2.33
Cl 0.2147 0.5561 0.8949  1 Zn 2.33
Cl 0.3245 0.3245 0.3245  1 Zn 2.20
Cl 0.4439 0.1051 0.7853  1 Zn 2.33
Cl 0.5561 0.8949 0.2147  1 Zn 2.33
Cl 0.6755 0.6755 0.6755  1 Zn 2.20
Cl 0.7853 0.4439 0.1051  1 Zn 2.33
Cl 0.8949 0.2147 0.5561  1 Zn 2.33

formation energy without anion corrections = -1.4419 eV/atom
volume = 30.85 Å³ per atom
magnetic moment = 3.00 Bohr magnetons per cell
space group = R-3, No. 148
E_tot = -46.880 eV/cell

Here is crystalline RbVCl2 at its relaxed geometry from Alexandria via LeMat-Bulk. Energies are from PBE.

Unit cell a=8.1630 b=8.1630 c=8.1630 alpha=134.92 beta=134.92 gamma=65.66
Last column: nearest neighbours and their distance in Å.
Element x y z (fractional)
Rb 0.0000 0.0000 0.0000  4 Cl 3.24
Rb 0.7500 0.2500 0.5000  4 Cl 3.24
V 0.2500 0.7500 0.5000  4 Cl 2.48
V 0.5000 0.5000 0.0000  4 Cl 2.48
Cl 0.2358 0.6250 0.1108  2 V 2.48
Cl 0.3750 0.4858 0.6108  2 V 2.48
Cl 0.5142 0.1250 0.8892  2 V 2.48
Cl 0.8750 0.7642 0.3892  2 V 2.48

formation energy without anion corrections = -0.8207 eV/atom
volume = 33.58 Å³ per atom
density of states at the Fermi level = 0.7005 states/eV/atom
magnetic moment = 7.89 Bohr magnetons per cell
space group = I-42d, No. 122
distance to the lowest polymorph of the same formula = 0 kJ/mol of formula units
E_tot = -34.125 eV/cell

Here is crystalline RbVCl3 at its relaxed geometry from Alexandria via LeMat-Bulk. Energies are from PBE.

Unit cell a=8.6413 b=3.6987 c=15.2609 alpha=90.00 beta=90.00 gamma=90.00
Last column: nearest neighbours and their distance in Å.
Element x y z (fractional)
Rb 0.0568 0.2500 0.1673  9 Cl 3.28-3.60
Rb 0.4432 0.7500 0.6673  9 Cl 3.28-3.60
Rb 0.5568 0.2500 0.3327  9 Cl 3.28-3.60
Rb 0.9432 0.7500 0.8327  9 Cl 3.28-3.60
V 0.1077 0.7500 0.4564  6 Cl 2.35-2.53
V 0.3923 0.2500 0.9564  6 Cl 2.35-2.53
V 0.6077 0.7500 0.0436  6 Cl 2.35-2.53
V 0.8923 0.2500 0.5436  6 Cl 2.35-2.53
Cl 0.0408 0.7500 0.6056  3 V 2.35-2.44
Cl 0.2064 0.7500 0.9974  2 V 2.53
Cl 0.2453 0.7500 0.3113  1 V 2.51
Cl 0.2547 0.2500 0.8113  1 V 2.51
Cl 0.2936 0.2500 0.4974  2 V 2.53
Cl 0.4592 0.2500 0.1056  3 V 2.35-2.44
Cl 0.5408 0.7500 0.8944  3 V 2.35-2.44
Cl 0.7064 0.7500 0.5026  2 V 2.53
Cl 0.7453 0.7500 0.1887  1 V 2.51
Cl 0.7547 0.2500 0.6887  1 V 2.51
Cl 0.7936 0.2500 0.0026  2 V 2.53
Cl 0.9592 0.2500 0.3944  3 V 2.35-2.44

formation energy without anion corrections = -1.3403 eV/atom
volume = 24.39 Å³ per atom
density of states at the Fermi level = 0.0962 states/eV/atom
magnetic moment = 3.98 Bohr magnetons per cell
space group = Pnma, No. 62
E_tot = -89.310 eV/cell

Here is crystalline RbV4Cl8 at its relaxed geometry from Alexandria via LeMat-Bulk. Energies are from PBE.

Unit cell a=8.9493 b=8.9493 c=8.9493 alpha=49.02 beta=49.02 gamma=49.02
Last column: nearest neighbours and their distance in Å.
Element x y z (fractional)
Rb 0.0000 0.0000 0.0000  6 Cl 3.35
V 0.0000 0.0000 0.5000  6 Cl 2.52-2.54
V 0.0000 0.5000 0.0000  6 Cl 2.52-2.54
V 0.5000 0.0000 0.0000  6 Cl 2.52-2.54
V 0.5000 0.5000 0.5000  6 Cl 2.54
Cl 0.2230 0.2230 0.2230  3 V 2.52
Cl 0.2248 0.7242 0.7242  3 V 2.54
Cl 0.2758 0.2758 0.7752  3 V 2.54
Cl 0.2758 0.7752 0.2758  3 V 2.54
Cl 0.7242 0.2248 0.7242  3 V 2.54
Cl 0.7242 0.7242 0.2248  3 V 2.54
Cl 0.7752 0.2758 0.2758  3 V 2.54
Cl 0.7770 0.7770 0.7770  3 V 2.52

formation energy without anion corrections = -1.0817 eV/atom
volume = 28.85 Å³ per atom
density of states at the Fermi level = 0.6180 states/eV/atom
magnetic moment = 13.02 Bohr magnetons per cell
space group = R-3m, No. 166
E_tot = -66.277 eV/cell

Here is crystalline Rb2VCl5 at its relaxed geometry from Alexandria via LeMat-Bulk. Energies are from PBE.

Unit cell a=7.4630 b=6.9983 c=7.6583 alpha=61.02 beta=55.12 gamma=63.86
Last column: nearest neighbours and their distance in Å.
Element x y z (fractional)
Rb 0.0000 0.0000 0.5000  6 Cl 3.34-3.61
Rb 0.5000 0.5000 0.0000  6 Cl 3.34-3.61
V 0.2276 0.2276 0.7724  5 Cl 2.23-2.44
Cl 0.0235 0.4504 0.5496  1 V 2.44
Cl 0.1248 0.5299 0.8752  1 V 2.28
Cl 0.4504 0.0235 0.9765  1 V 2.44
Cl 0.5299 0.1248 0.4701  1 V 2.28
Cl 0.9948 0.9948 0.0052  1 V 2.23

formation energy without anion corrections = -1.6043 eV/atom
volume = 34.94 Å³ per atom
density of states at the Fermi level = 0.0748 states/eV/atom
magnetic moment = 2.00 Bohr magnetons per cell
space group = Fmm2, No. 42
E_tot = -33.121 eV/cell

Here is crystalline Rb5V2Cl12 at its relaxed geometry from Alexandria via LeMat-Bulk. Energies are from PBE.

Unit cell a=7.1990 b=10.2002 c=11.0081 alpha=95.02 beta=108.97 gamma=90.02
Last column: nearest neighbours and their distance in Å.
Element x y z (fractional)
Rb 0.0000 0.0000 0.0000  6 Cl 3.26-3.34
Rb 0.3197 0.9883 0.6406  9 Cl 3.34-3.64
Rb 0.3254 0.5349 0.6506  9 Cl 3.38-3.62
Rb 0.6746 0.4651 0.3494  9 Cl 3.38-3.62
Rb 0.6803 0.0117 0.3594  9 Cl 3.34-3.64
V 0.1654 0.2393 0.3305  6 Cl 2.32-2.41
V 0.8346 0.7607 0.6695  6 Cl 2.32-2.41
Cl 0.0233 0.2500 0.4976  1 V 2.37
Cl 0.1530 0.7774 0.8261  1 V 2.37
Cl 0.1593 0.0027 0.3210  1 V 2.41
Cl 0.1649 0.4660 0.3268  1 V 2.32
Cl 0.3284 0.2212 0.1740  1 V 2.37
Cl 0.4738 0.2489 0.4977  1 V 2.37
Cl 0.5262 0.7511 0.5023  1 V 2.37
Cl 0.6716 0.7788 0.8260  1 V 2.37
Cl 0.8351 0.5340 0.6732  1 V 2.32
Cl 0.8407 0.9973 0.6790  1 V 2.41
Cl 0.8470 0.2226 0.1739  1 V 2.37
Cl 0.9767 0.7500 0.5024  1 V 2.37

formation energy without anion corrections = -1.6091 eV/atom
volume = 40.06 Å³ per atom
density of states at the Fermi level = 1.0043 states/eV/atom
magnetic moment = 3.00 Bohr magnetons per cell
space group = P-1, No. 2
E_tot = -75.808 eV/cell